1.
Here is a relaxed structure of Ba3Sr2Ca8 from Alexandria via LeMat-Bulk. Energies are from PBE.

Geometry as POSCAR:
```
Ba3Sr2Ca8
1.0
-4.477 -5.616 1.479
2.306 -6.889 -0.999
4.235 -4.501 13.906
Ba Sr Ca
3 2 8
Cartesian
0.000 0.000 0.000
0.547 -12.687 8.016
1.516 -4.319 6.370
-1.067 -8.362 1.376
3.130 -8.644 13.011
1.882 -12.777 11.718
0.181 -4.229 2.668
1.928 -7.709 3.786
-1.481 -7.069 5.031
-0.322 -10.531 4.529
3.545 -9.937 9.355
0.135 -9.297 10.601
2.386 -6.474 9.857
```

Summary:
For the volume, the calculation gives 680.6 Å³/cell. The total energy is -23.62 eV/cell. The distance to the lowest polymorph of the same formula is 2.9 kJ/mol of atoms. The size of the total moment comes out at 0.00 μB per cell. Its symmetry is R-3m (166). The value obtained for the formation energy is 0.117 eV/atom.

2.
Here is a relaxed structure of BaSrCa2 from Alexandria via LeMat-Bulk. Energies are from PBE.

Geometry as POSCAR:
```
BaSrCa2
1.0
-8.298 2.002 5.557
-5.608 0.335 -8.496
-7.649 -2.582 -1.158
Sr Ca Ba
2 4 2
Cartesian
-6.953 1.168 -1.469
-10.105 -0.539 -5.561
-7.783 0.644 2.110
-6.471 -0.182 -4.893
-10.963 -1.059 -1.987
-17.893 0.108 -3.423
0.000 0.000 0.000
-11.450 0.294 1.465
```

Summary:
For the volume, the calculation gives 397.0 Å³/cell. The total energy is -13.12 eV/cell. The distance to the lowest polymorph of the same formula is 24.5 kJ/mol of atoms. The size of the total moment comes out at 0.00 μB per cell. Its symmetry is I-42d (122). The value obtained for the formation energy is 0.262 eV/atom.

3.
Here is a relaxed structure of Ba3Sr3Ca from Alexandria via LeMat-Bulk. Energies are from PBE.

Geometry as POSCAR:
```
Ba3Sr3Ca
1.0
-0.848 5.411 5.722
-0.205 -6.511 4.505
13.189 0.555 1.538
Ba Sr Ca
6 6 2
Cartesian
0.507 -0.675 6.881
9.010 1.858 8.492
9.249 -2.560 8.041
3.125 -2.404 3.273
2.886 2.015 3.723
11.628 0.129 4.884
4.846 -0.500 7.462
6.272 -4.070 5.495
5.863 3.525 6.270
-0.320 -4.384 4.722
-0.734 3.284 5.505
7.289 -0.046 4.303
9.851 0.396 1.325
2.284 -0.942 10.439
```

Summary:
For the volume, the calculation gives 824.5 Å³/cell. The total energy is -24.76 eV/cell. The distance to the lowest polymorph of the same formula is 4.5 kJ/mol of atoms. The size of the total moment comes out at 0.00 μB per cell. Its symmetry is C2/m (12). The value obtained for the formation energy is 0.062 eV/atom.

4.
Here is a relaxed structure of BaSrCa4 from Alexandria via LeMat-Bulk. Energies are from PBE.

Geometry as POSCAR:
```
BaSrCa4
1.0
3.750 -1.128 -0.023
-1.864 7.296 -0.004
-0.028 0.021 11.103
Ba Sr Ca
1 1 4
Cartesian
0.925 3.084 11.068
-1.868 7.285 5.527
-0.519 6.878 1.851
0.533 6.565 9.181
2.220 2.691 7.326
-0.341 3.455 3.705
```

Summary:
For the volume, the calculation gives 280.5 Å³/cell. The total energy is -11.41 eV/cell. The distance to the lowest polymorph of the same formula is 1.1 kJ/mol of atoms. The size of the total moment comes out at 0.00 μB per cell. Its symmetry is P-1 (2). The value obtained for the formation energy is 0.034 eV/atom.

5.
Here is a relaxed structure of Ba6Sr2Ca3 from Alexandria via LeMat-Bulk. Energies are from PBE.

Geometry as POSCAR:
```
Ba6Sr2Ca3
1.0
-2.739 2.648 12.435
-6.088 -5.592 6.651
3.860 -2.324 4.944
Ba Sr Ca
6 2 3
Cartesian
-2.757 -4.355 13.680
1.253 -0.068 12.569
0.481 -2.941 7.291
-0.132 0.391 4.810
-2.210 -0.913 10.349
-5.447 -2.328 16.738
-2.880 -4.882 9.005
-2.086 -0.387 15.024
0.000 0.000 0.000
-3.405 -1.660 6.404
-5.422 -1.285 12.681
```

Summary:
For the volume, the calculation gives 625.4 Å³/cell. The total energy is -20.05 eV/cell. The distance to the lowest polymorph of the same formula is 0.0 kJ/mol of atoms. The size of the total moment comes out at 0.00 μB per cell. Its symmetry is Immm (71). The value obtained for the formation energy is 0.077 eV/atom.

6.
Here is a relaxed structure of Ba6SrCa from Alexandria via LeMat-Bulk. Energies are from PBE.

Geometry as POSCAR:
```
Ba6SrCa
1.0
6.921 0.000 0.000
0.000 11.985 -6.863
0.000 -3.542 7.712
Ba Sr Ca
6 1 1
Cartesian
0.000 9.607 -4.082
0.000 3.602 -0.644
0.000 1.877 3.279
3.461 4.845 1.491
3.461 -1.167 4.933
3.461 0.605 1.056
0.000 7.788 -0.296
3.461 6.617 -2.341
```

Summary:
For the volume, the calculation gives 471.5 Å³/cell. The total energy is -15.11 eV/cell. The distance to the lowest polymorph of the same formula is 0.0 kJ/mol of atoms. The size of the total moment comes out at 0.00 μB per cell. Its symmetry is Amm2 (38). The value obtained for the formation energy is 0.013 eV/atom.

7.
Here is a relaxed structure of BaSr12Ca3 from Alexandria via LeMat-Bulk. Energies are from PBE.

Geometry as POSCAR:
```
BaSr12Ca3
1.0
5.976 0.000 0.000
0.000 5.976 0.000
0.000 0.000 23.637
Ba Sr Ca
1 12 3
Cartesian
0.000 0.000 0.000
2.988 2.988 0.000
2.988 2.988 6.046
2.988 2.988 11.819
2.988 2.988 17.592
2.988 0.000 3.143
2.988 0.000 8.926
2.988 0.000 14.711
2.988 0.000 20.494
0.000 2.988 3.143
0.000 2.988 8.926
0.000 2.988 14.711
0.000 2.988 20.494
0.000 0.000 6.033
0.000 0.000 11.819
0.000 0.000 17.604
```

Summary:
For the volume, the calculation gives 844.2 Å³/cell. The total energy is -27.94 eV/cell. The size of the total moment comes out at 0.00 μB per cell. Its symmetry is P4/mmm (123). The value obtained for the formation energy is 0.011 eV/atom.

8.
Here is a relaxed structure of Ba5Sr2Ca from Alexandria via LeMat-Bulk. Energies are from PBE.

Geometry as POSCAR:
```
Ba5Sr2Ca
1.0
6.284 0.000 0.000
0.000 8.674 0.000
0.000 0.000 17.324
Ba Sr Ca
10 4 2
Cartesian
0.000 0.000 8.662
0.000 4.337 0.000
0.000 8.641 4.265
0.000 0.034 13.059
0.000 4.371 12.927
0.000 4.303 4.397
3.142 6.442 6.553
3.142 2.232 10.771
3.142 6.570 15.215
3.142 2.105 2.109
3.142 6.503 2.134
3.142 2.171 15.191
3.142 6.508 10.796
3.142 2.166 6.528
0.000 4.337 8.662
0.000 0.000 0.000
```

Summary:
For the volume, the calculation gives 944.4 Å³/cell. The total energy is -29.55 eV/cell. The size of the total moment comes out at 0.00 μB per cell. Its symmetry is Pbam (55). The value obtained for the formation energy is 0.026 eV/atom.

9.
Here is a relaxed structure of Ba2Sr2Ca from Alexandria via LeMat-Bulk. Energies are from PBE.

Geometry as POSCAR:
```
Ba2Sr2Ca
1.0
5.221 0.000 0.000
0.000 5.221 0.000
2.610 2.610 11.023
Sr Ca Ba
2 1 2
Cartesian
5.221 2.610 5.512
2.610 5.221 5.512
0.000 0.000 0.000
2.610 2.610 2.057
5.221 5.221 8.966
```

Summary:
For the volume, the calculation gives 300.4 Å³/cell. The total energy is -8.01 eV/cell. The distance to the lowest polymorph of the same formula is 16.5 kJ/mol of atoms. The size of the total moment comes out at 0.59 μB per cell. Its symmetry is I4/mmm (139). The value obtained for the formation energy is 0.241 eV/atom.

10.
Here is a relaxed structure of BaSrCa2 from Alexandria via LeMat-Bulk. Energies are from PBE.

Geometry as POSCAR:
```
BaSrCa2
1.0
4.125 0.000 0.000
2.063 3.573 0.000
2.063 1.191 13.532
Ba Sr Ca
1 1 2
Cartesian
4.125 2.382 6.783
6.188 3.573 13.517
2.063 1.191 10.208
2.063 1.191 3.322
```

Summary:
For the volume, the calculation gives 199.4 Å³/cell. The total energy is -7.44 eV/cell. The distance to the lowest polymorph of the same formula is 3.4 kJ/mol of atoms. The size of the total moment comes out at 0.00 μB per cell. Its symmetry is R3m (160). The value obtained for the formation energy is 0.043 eV/atom.

11.
Here is a relaxed structure of BaSrCa2 from Alexandria via LeMat-Bulk. Energies are from PBE.

Geometry as POSCAR:
```
BaSrCa2
1.0
0.000 4.638 4.638
4.638 0.000 4.638
4.638 4.638 0.000
Sr Ca Ba
1 2 1
Cartesian
0.000 0.000 0.000
2.319 2.319 2.319
6.957 6.957 6.957
4.638 4.638 4.638
```

Summary:
For the volume, the calculation gives 199.5 Å³/cell. The total energy is -7.49 eV/cell. The distance to the lowest polymorph of the same formula is 2.0 kJ/mol of atoms. The size of the total moment comes out at 0.00 μB per cell. Its symmetry is Fm-3m (225). The value obtained for the formation energy is 0.028 eV/atom.